No. 1
A plane-wave DFT calculation with PBE was carried out for MgTeI2Br after structural relaxation.

Lattice parameters (Å, degrees): 5.4932 5.4932 5.9166 90.00 90.00 90.00
Fractional positions:
I 0.0000 0.5000 0.0000
Br 0.5000 0.5000 0.5000
Mg 0.0000 0.0000 0.0000
Te 0.0000 0.0000 0.5000
I 0.5000 0.0000 0.0000

## Properties
Magnetic moment in μB/f.u.: 0.00
Total energy in eV/atom: -1.96
Formation energy from raw total energies in eV per formula unit: -0.284
Relative energy among the computed polymorphs in eV/atom: 0.000
DOS at the Fermi energy in states/eV/f.u.: 5.43
SG: No. 123
Crystal system: tetragonal

=====

No. 2
A plane-wave DFT calculation with PBE was carried out for Ho4Ag after structural relaxation.

Lattice parameters (Å, degrees): 5.5215 5.5215 5.5215 90.00 90.00 90.00
Fractional positions:
Ho 0.5000 0.0000 0.5000
Ag 0.5000 0.5000 0.5000
Ho 0.0000 0.5000 0.5000
Ho 0.5000 0.5000 0.0000
Ho 0.0000 0.0000 0.0000

## Properties
Magnetic moment in μB/f.u.: 0.00
Total energy in eV/atom: -3.95
E_form in eV per atom: 0.28
Relative energy among the computed polymorphs in eV/atom: 0.286
DOS at the Fermi energy in states/eV/f.u.: 8.14
SG: No. 221
Crystal system: cubic

=====

No. 3
A plane-wave DFT calculation with PBE was carried out for ZrMnRh after structural relaxation.

Lattice parameters (Å, degrees): 4.3532 4.3532 4.3532 60.00 60.00 60.00
Last column: magnetic moment on the atom in μB.
Fractional positions:
Mn 0.0000 0.0000 0.0000  3.26
Rh 0.5000 0.5000 0.5000  0.19
Zr 0.7500 0.7500 0.7500  -0.31

## Properties
Magnetic moment in μB/f.u.: 3.17
Total energy in eV/atom: -8.05
E_form in eV per atom: 0.31
DOS at the Fermi energy in states/eV/f.u.: 2.65
SG: No. 216
Crystal system: cubic

=====

No. 4
A plane-wave DFT calculation with PBE was carried out for Ce4Ir2Br after structural relaxation.

Lattice parameters (Å, degrees): 4.1055 4.1055 13.8673 81.49 81.49 60.00
Last column: magnetic moment on the atom in μB.
Fractional positions:
Br 0.0000 0.0000 0.0000  -0.01
Ce 0.1301 0.1301 0.6097  0.89
Ce 0.8699 0.8699 0.3903  0.89
Ce 0.7229 0.7229 0.8313  0.77
Ir 0.4262 0.4262 0.7214  -0.06
Ce 0.2771 0.2771 0.1687  0.77
Ir 0.5738 0.5738 0.2786  -0.06

## Properties
Magnetic moment in μB/f.u.: 4.18
Total energy in eV/atom: -6.95
Formation energy from raw total energies in eV per formula unit: -5.488
DOS at the Fermi energy in states/eV/f.u.: 22.55
SG: No. 166
Crystal system: trigonal

=====

No. 5
A plane-wave DFT calculation with PBE was carried out for Tl3Ag4Se4 after structural relaxation.

Lattice parameters (Å, degrees): 4.5628 4.5852 14.2096 99.28 99.24 90.00
Fractional positions:
Tl 0.3538 0.8538 0.7077
Tl 0.0000 0.0000 0.0000
Ag 0.9004 0.4004 0.8009
Ag 0.0996 0.5996 0.1991
Se 0.5556 0.5556 0.1113
Ag 0.7483 0.7483 0.4966
Tl 0.6462 0.1462 0.2923
Se 0.4444 0.4444 0.8887
Se 0.8055 0.3055 0.6110
Se 0.1945 0.6945 0.3890
Ag 0.2517 0.2517 0.5034

## Properties
Magnetic moment in μB/f.u.: 0.00
Total energy in eV/atom: -3.12
Formation energy from raw total energies in eV per formula unit: -1.885
Relative energy among the computed polymorphs in eV/atom: 0.000
DOS at the Fermi energy in states/eV/f.u.: 3.58
SG: No. 71
Crystal system: orthorhombic

=====

No. 6
A plane-wave DFT calculation with PBE was carried out for La2PmBr after structural relaxation.

Lattice parameters (Å, degrees): 3.8051 3.8051 10.9850 80.03 80.03 60.00
Last column: magnetic moment on the atom in μB.
Fractional positions:
Pm 0.5003 0.5003 0.4992  0.20
Br 0.6662 0.6662 0.0015  0.01
La 0.0751 0.0751 0.7746  0.12
La 0.2584 0.2584 0.2248  0.10

## Properties
Magnetic moment in μB/f.u.: 0.96
Total energy in eV/atom: -4.66
Formation energy from raw total energies in eV per formula unit: -2.343
Relative energy among the computed polymorphs in eV/atom: 0.002
DOS at the Fermi energy in states/eV/f.u.: 4.69
SG: No. 160
Crystal system: trigonal

=====

No. 7
A plane-wave DFT calculation with PBE was carried out for Pr2CoP after structural relaxation.

Lattice parameters (Å, degrees): 3.9427 3.9427 8.9473 77.27 77.27 60.00
Last column: magnetic moment on the atom in μB.
Fractional positions:
Co 0.0000 0.0000 0.0000  1.34
Pr 0.1009 0.1009 0.6973  -0.10
P 0.5000 0.5000 0.5000  0.00
Pr 0.8991 0.8991 0.3027  -0.10

## Properties
Magnetic moment in μB/f.u.: 0.87
Total energy in eV/atom: -5.52
E_form in eV per atom: 0.00
DOS at the Fermi energy in states/eV/f.u.: 4.33
SG: No. 166
Crystal system: trigonal

=====

No. 8
A plane-wave DFT calculation with PBE was carried out for BaCu2Ru after structural relaxation.

Lattice parameters (Å, degrees): 5.6326 5.6326 5.6326 147.03 125.73 64.98
Last column: magnetic moment on the atom in μB.
Fractional positions:
Ba 0.2480 0.7480 0.5000  -0.01
Cu 0.7547 0.2547 0.5000  0.04
Cu 0.9616 0.9616 0.0000  0.03
Ru 0.5358 0.5358 0.0000  1.07

## Properties
Magnetic moment in μB/f.u.: 1.13
Total energy in eV/atom: -4.17
E_form in eV per atom: 0.68
Relative energy among the computed polymorphs in eV/atom: 0.479
DOS at the Fermi energy in states/eV/f.u.: 3.07
SG: No. 44
Crystal system: orthorhombic

=====

No. 9
A plane-wave DFT calculation with PBE was carried out for NbNi2B2 after structural relaxation.

Lattice parameters (Å, degrees): 3.2640 3.4000 9.2309 100.61 100.18 90.00
Fractional positions:
B 0.3767 0.1267 0.7534
Ni 0.5546 0.3046 0.1093
B 0.7241 0.9741 0.4482
Ni 0.9469 0.1969 0.8937
B 0.2759 0.0259 0.5518
B 0.6233 0.8733 0.2466
Nb 0.8234 0.5734 0.6468
Nb 0.1766 0.4266 0.3532
Ni 0.4454 0.6954 0.8907
Ni 0.0531 0.8031 0.1063

## Properties
Magnetic moment in μB/f.u.: 0.00
Total energy in eV/atom: -7.47
E_form in eV per atom: -0.47
DOS at the Fermi energy in states/eV/f.u.: 3.57
SG: No. 74
Crystal system: orthorhombic

=====

No. 10
A plane-wave DFT calculation with PBE was carried out for NpCuSbAu after structural relaxation.

Lattice parameters (Å, degrees): 4.9447 4.9447 4.9447 60.00 60.00 60.00
Last column: magnetic moment on the atom in μB.
Fractional positions:
Sb 0.0000 0.0000 0.0000  0.03
Np 0.7500 0.7500 0.7500  -3.82
Cu 0.2500 0.2500 0.2500  -0.01
Au 0.5000 0.5000 0.5000  0.02

## Properties
Magnetic moment in μB/f.u.: 4.04
Total energy in eV/atom: -6.11
Formation energy from raw total energies in eV per formula unit: -0.011
DOS at the Fermi energy in states/eV/f.u.: 8.62
SG: No. 216
Crystal system: cubic

=====

No. 11
A plane-wave DFT calculation with PBE was carried out for Co3PdS after structural relaxation.

Lattice parameters (Å, degrees): 4.5881 4.5881 4.5881 90.00 90.00 90.00
Last column: magnetic moment on the atom in μB.
Fractional positions:
Pd 0.0000 0.0000 0.0000  0.49
Co 0.0000 0.0000 0.5000  2.63
S 0.5000 0.5000 0.5000  0.13
Co 0.0000 0.5000 0.0000  2.12
Co 0.5000 0.0000 0.0000  1.59

## Properties
Magnetic moment in μB/f.u.: 7.00
Total energy in eV/atom: -4.67
Formation energy from raw total energies in eV per formula unit: 7.279
Relative energy among the computed polymorphs in eV/atom: 1.240
DOS at the Fermi energy in states/eV/f.u.: 7.57
SG: No. 221
Crystal system: cubic

=====

No. 12
A plane-wave DFT calculation with PBE was carried out for Tm5AgRh2 after structural relaxation.

Lattice parameters (Å, degrees): 7.5858 7.5858 8.5203 116.43 116.43 90.00
Fractional positions:
Tm 0.4776 0.2970 0.2747
Tm 0.5000 0.5000 0.0000
Tm 0.0000 0.0000 0.0000
Tm 0.7030 0.2030 0.7253
Tm 0.9776 0.4776 0.2747
Ag 0.7500 0.7500 0.5000
Rh 0.8593 0.6407 0.0000
Rh 0.1407 0.3593 0.0000
Tm 0.2030 0.0224 0.7253
Tm 0.0224 0.5224 0.7253
Tm 0.2970 0.7970 0.2747
Tm 0.5224 0.7030 0.7253
Rh 0.6407 0.1407 0.0000
Tm 0.7970 0.9776 0.2747
Ag 0.2500 0.2500 0.5000
Rh 0.3593 0.8593 0.0000

## Properties
Magnetic moment in μB/f.u.: 0.00
Total energy in eV/atom: -5.62
E_form in eV per atom: -0.63
DOS at the Fermi energy in states/eV/f.u.: 6.66
SG: No. 140
Crystal system: tetragonal

=====

No. 13
A plane-wave DFT calculation with PBE was carried out for PrAlO3 after structural relaxation.

Lattice parameters (Å, degrees): 5.3560 5.3560 5.3560 60.50 60.50 60.50
Fractional positions:
Pr 0.7500 0.7500 0.7500
O 0.7023 0.7977 0.2500
O 0.2500 0.7023 0.7977
O 0.2023 0.7500 0.2977
O 0.7500 0.2977 0.2023
Al 0.0000 0.0000 0.0000
Al 0.5000 0.5000 0.5000
O 0.2977 0.2023 0.7500
Pr 0.2500 0.2500 0.2500
O 0.7977 0.2500 0.7023

## Properties
Magnetic moment in μB/f.u.: 0.00
Total energy in eV/atom: -7.92
Formation energy from raw total energies in eV per formula unit: -16.203
DOS at the Fermi energy in states/eV/f.u.: 0.00
SG: No. 167
Crystal system: trigonal

=====

No. 14
A plane-wave DFT calculation with PBE was carried out for LaCrTe2 after structural relaxation.

Lattice parameters (Å, degrees): 7.6378 7.6378 7.6378 148.93 148.33 44.96
Last column: magnetic moment on the atom in μB.
Fractional positions:
Te 0.7041 0.2041 0.5000  0.00
La 0.2997 0.7997 0.5000  0.10
Te 0.9768 0.9768 0.0000  -0.06
Cr 0.5195 0.5195 0.0000  3.97

## Properties
Magnetic moment in μB/f.u.: 4.76
Total energy in eV/atom: -5.88
Formation energy from raw total energies in eV per formula unit: -2.685
Relative energy among the computed polymorphs in eV/atom: 0.112
DOS at the Fermi energy in states/eV/f.u.: 1.44
SG: No. 44
Crystal system: orthorhombic

=====

No. 15
A plane-wave DFT calculation with PBE was carried out for BaMn2Os after structural relaxation.

Lattice parameters (Å, degrees): 5.1823 5.1823 8.7397 72.75 72.75 90.00
Last column: magnetic moment on the atom in μB.
Fractional positions:
Mn 0.8750 0.1250 0.2500  2.76
Os 0.7500 0.2500 0.5000  -0.27
Os 0.0000 0.0000 0.0000  -0.27
Ba 0.5000 0.5000 0.0000  -0.01
Mn 0.3750 0.1250 0.7500  2.79
Mn 0.8750 0.6250 0.2500  2.71
Mn 0.8750 0.1250 0.7500  2.74
Ba 0.2500 0.7500 0.5000  -0.01

## Properties
Magnetic moment in μB/f.u.: 5.56
Total energy in eV/atom: -7.02
E_form in eV per atom: 0.85
Relative energy among the computed polymorphs in eV/atom: 0.432
DOS at the Fermi energy in states/eV/f.u.: 4.31
SG: No. 141
Crystal system: tetragonal

=====

No. 16
A plane-wave DFT calculation with PBE was carried out for Pm2TiAg after structural relaxation.

Lattice parameters (Å, degrees): 3.5175 3.5175 8.3027 90.00 90.00 90.00
Fractional positions:
Pm 0.0000 0.0000 0.2498
Pm 0.0000 0.0000 0.7502
Ti 0.5000 0.5000 0.5000
Ag 0.5000 0.5000 0.0000

## Properties
Magnetic moment in μB/f.u.: 0.00
Total energy in eV/atom: -5.03
E_form in eV per atom: 0.03
Relative energy among the computed polymorphs in eV/atom: 0.000
DOS at the Fermi energy in states/eV/f.u.: 4.36
SG: No. 123
Crystal system: tetragonal

=====

No. 17
A plane-wave DFT calculation with PBE was carried out for Ti2ZnCrH after structural relaxation.

Lattice parameters (Å, degrees): 4.1661 4.1661 3.4862 90.00 90.00 90.00
Fractional positions:
Ti 0.0000 0.5000 0.0000
Cr 0.0000 0.0000 0.5000
Ti 0.5000 0.0000 0.0000
Zn 0.5000 0.5000 0.5000
H 0.0000 0.0000 0.0000

## Properties
Magnetic moment in μB/f.u.: 0.00
Total energy in eV/atom: -6.16
DOS at the Fermi energy in states/eV/f.u.: 4.55
SG: No. 123
Crystal system: tetragonal

=====

No. 18
A plane-wave DFT calculation with PBE was carried out for Na4BeF6 after structural relaxation.

Lattice parameters (Å, degrees): 5.7540 6.2004 10.5827 78.00 74.23 62.35
Last column: magnetic moment on the atom in μB.
Fractional positions:
Na 0.0374 0.4727 0.1684  0.00
F 0.3958 0.5328 0.1355  0.06
Na 0.7124 0.1513 0.1253  0.00
F 0.2686 0.3206 0.7504  0.00
Na 0.0110 0.6513 0.6253  0.00
Be 0.6562 0.7795 0.4036  0.00
F 0.0289 0.0992 0.9227  0.00
F 0.6259 0.6494 0.7564  0.07
F 0.4168 0.1488 0.9696  0.00
F 0.6604 0.8206 0.2504  0.00
F 0.5541 0.0189 0.4660  0.00
F 0.9492 0.5992 0.4227  0.00
Na 0.2559 0.7652 0.2945  0.00
Na 0.3215 0.9727 0.6684  0.00
Na 0.5199 0.7478 0.9617  0.00
F 0.9359 0.0328 0.6355  0.06
Na 0.6844 0.2652 0.7945  0.00
F 0.9610 0.5189 0.9660  0.00
Na 0.7706 0.2478 0.4617  0.00
F 0.9683 0.1494 0.2564  0.07
Be 0.1607 0.2795 0.9036  0.00
F 0.4648 0.6488 0.4696  0.00

## Properties
Magnetic moment in μB/f.u.: 0.16
Total energy in eV/atom: -4.71
Formation energy from raw total energies in eV per formula unit: -31.617
DOS at the Fermi energy in states/eV/f.u.: 0.00
SG: No. 9
Crystal system: monoclinic

=====

No. 19
A plane-wave DFT calculation with PBE was carried out for NiAu3 after structural relaxation.

Lattice parameters (Å, degrees): 2.9056 2.9340 7.6411 90.00 90.00 90.00
Fractional positions:
Ni 0.5000 0.5000 0.2500
Au 0.0000 0.0000 0.4723
Au 0.0000 0.0000 0.0277
Au 0.5000 0.5000 0.7500

## Properties
Magnetic moment in μB/f.u.: 0.00
Total energy in eV/atom: -3.86
E_form in eV per atom: 0.05
DOS at the Fermi energy in states/eV/f.u.: 3.62
SG: No. 47
Crystal system: orthorhombic

=====

No. 20
A plane-wave DFT calculation with PBE was carried out for SmCdAgSn after structural relaxation.

Lattice parameters (Å, degrees): 5.1380 5.1380 5.1380 60.00 60.00 60.00
Fractional positions:
Sn 0.0000 0.0000 0.0000
Sm 0.2500 0.2500 0.2500
Cd 0.7500 0.7500 0.7500
Ag 0.5000 0.5000 0.5000

## Properties
Magnetic moment in μB/f.u.: 0.00
Total energy in eV/atom: -3.43
E_form in eV per atom: -0.31
DOS at the Fermi energy in states/eV/f.u.: 1.50
SG: No. 216
Crystal system: cubic